Compound: Tb6YHoSc2
Source: the Alexandria database
Functional: GGA-PBE
Structure: relaxed

Results
* M_tot: 0.0 μB/cell
* ΔH_f (0 K): 0.122 eV per atom

Unit cell a=8.9347 b=14.8371 c=9.3693 alpha=90.00 beta=96.99 gamma=90.00
Closest atoms and distances in Å follow each position.
Space group C2/c (No. 15)
Asymmetric unit:
Tb 0.0614 0.1813 0.4469 x8  7 Tb 3.35-3.72, 1 Sc 3.38, 2 Y 3.59-3.75
Tb 0.1009 0.3962 0.6179 x8  3 Sc 3.18-3.34, 3 Tb 3.20-3.35, 2 Ho 3.32-3.46
Tb 0.2107 0.2279 0.8179 x8  4 Tb 3.20-3.54, 2 Sc 3.34-3.48, 1 Ho 3.40, 1 Y 3.56
Y 0.0000 0.0259 0.7500 x4  4 Sc 3.34-3.38, 4 Tb 3.56-3.59
Ho 0.0000 0.4084 0.2500 x4  6 Tb 3.32-3.46, 2 Sc 3.50
Sc 0.2486 0.4458 0.9537 x8  6 Tb 3.18-3.48, 2 Y 3.34-3.38, 1 Ho 3.50